Entry a
A plane-wave DFT calculation with PBE-GGA was carried out for a geometry-optimized Li2TaIn2 structure.

Geometry as extended XYZ:
```
5
Lattice="-1.8778 1.8778 6.8004 1.8778 -1.8778 6.8004 1.8778 1.8778 -6.8004" Properties=species:S:1:pos:R:3 pbc="T T T"
Li 1.8778 0.0000 3.4002
Li 0.0000 1.8778 3.4002
Ta 0.0000 0.0000 0.0000
In 0.0000 0.0000 5.4002
In 0.0000 0.0000 8.2006
```

Calculated values
**Size of the total moment**: 0.00 Bohr magnetons per cell

Entry b
A plane-wave DFT calculation with PBE-GGA was carried out for a geometry-optimized Li2TaIn2 structure.

Geometry as extended XYZ:
```
10
Lattice="7.8303 0.0000 0.0000 0.0000 7.8303 0.0000 0.0000 0.0000 3.0080" Properties=species:S:1:pos:R:3 pbc="T T T"
Li 1.1896 2.7256 0.0000
Li 2.7256 6.6408 0.0000
Li 5.1048 1.1896 0.0000
Li 6.6408 5.1048 0.0000
Ta 0.0000 0.0000 1.5040
Ta 3.9152 3.9152 1.5040
In 1.1805 5.0956 1.5040
In 2.7347 1.1805 1.5040
In 5.0956 6.6499 1.5040
In 6.6499 2.7347 1.5040
```

Calculated values
**Size of the total moment**: 0.00 Bohr magnetons per cell

What should be chosen as the least stable of them? Choose entry a.

Entry a
A plane-wave DFT calculation with PBE-GGA was carried out for a geometry-optimized LiTaIn3 structure.

Geometry as extended XYZ:
```
5
Lattice="4.7642 0.0000 0.0000 0.0000 4.7642 0.0000 0.0000 0.0000 4.7642" Properties=species:S:1:pos:R:3 pbc="T T T"
Li 0.0000 0.0000 0.0000
Ta 2.3821 2.3821 2.3821
In 0.0000 0.0000 2.3821
In 0.0000 2.3821 0.0000
In 2.3821 0.0000 0.0000
```

Calculated values
**Size of the total moment**: 0.00 Bohr magnetons per cell

Entry b
A plane-wave DFT calculation with PBE-GGA was carried out for a geometry-optimized LiTaIn3 structure.

Geometry as extended XYZ:
```
5
Lattice="5.4315 0.0000 0.0000 0.0000 5.4315 0.0000 0.0000 0.0000 5.4315" Properties=species:S:1:pos:R:3 pbc="T T T"
Li 0.0000 0.0000 0.0000
Ta 2.7157 2.7157 2.7157
In 0.0000 2.7157 2.7157
In 2.7157 0.0000 2.7157
In 2.7157 2.7157 0.0000
```

Calculated values
**Size of the total moment**: 0.00 Bohr magnetons per cell

What should be chosen as the least stable of them? Choose entry a.

Entry a
A plane-wave DFT calculation with PBE-GGA was carried out for a geometry-optimized Li2InTe structure.

Geometry as extended XYZ:
```
4
Lattice="3.9589 -2.1025 0.0000 3.9589 2.1025 0.0000 -1.7438 0.0000 5.9313" Properties=species:S:1:pos:R:3 pbc="T T T"
Li 1.4323 0.0000 1.0651
Li 4.7417 0.0000 4.8662
In -0.8719 0.0000 2.9656
Te 3.9589 0.0000 0.0000
```

Calculated values
**Size of the total moment**: 0.00 Bohr magnetons per cell

Entry b
A plane-wave DFT calculation with PBE-GGA was carried out for a geometry-optimized Li2InTe structure.

Geometry as extended XYZ:
```
4
Lattice="-2.3380 2.3573 4.1671 2.3380 -2.3573 4.1671 2.3380 2.3573 -4.1671" Properties=species:S:1:pos:R:3 pbc="T T T"
Li 0.0000 0.0000 2.0730
Li 0.0000 0.0000 6.2611
In 0.0000 2.3573 0.0000
Te 2.3380 0.0000 0.0000
```

Calculated values
**Size of the total moment**: 0.00 Bohr magnetons per cell

What should be chosen as the least stable of them? Choose entry b.

Entry a
A plane-wave DFT calculation with PBE-GGA was carried out for a geometry-optimized Li2InTe structure.

Geometry as extended XYZ:
```
4
Lattice="2.1765 1.2566 6.2803 -2.1765 1.2566 6.2803 0.0000 -2.5132 6.2803" Properties=species:S:1:pos:R:3 pbc="T T T"
Li 0.0000 0.0000 0.0000
Li 0.0000 0.0000 4.0707
In 0.0000 0.0000 14.6396
Te 0.0000 0.0000 11.5223
```

Calculated values
**Size of the total moment**: 0.00 Bohr magnetons per cell

Entry b
A plane-wave DFT calculation with PBE-GGA was carried out for a geometry-optimized Li2InTe structure.

Geometry as extended XYZ:
```
4
Lattice="3.3657 -4.2769 0.0000 3.3657 4.2769 0.0000 0.0000 0.0000 3.1289" Properties=species:S:1:pos:R:3 pbc="T T T"
Li 1.6828 2.1385 0.0000
Li 1.6828 -2.1385 0.0000
In 0.0000 0.0000 1.5644
Te 3.3657 0.0000 1.5644
```

Calculated values
**Size of the total moment**: 0.00 Bohr magnetons per cell

What should be chosen as the least stable of them? Choose entry b.

Entry a
A plane-wave DFT calculation with PBE-GGA was carried out for a geometry-optimized LiIn2Te2 structure.

Geometry as extended XYZ:
```
5
Lattice="-2.1710 2.1710 8.0749 2.1710 -2.1710 8.0749 2.1710 2.1710 -8.0749" Properties=species:S:1:pos:R:3 pbc="T T T"
Li 0.0000 0.0000 0.0000
In 2.1710 0.0000 4.0374
In 0.0000 2.1710 4.0374
Te 0.0000 0.0000 6.6126
Te 0.0000 0.0000 9.5372
```

Calculated values
**Size of the total moment**: 0.00 Bohr magnetons per cell

Entry b
A plane-wave DFT calculation with PBE-GGA was carried out for a geometry-optimized LiIn2Te2 structure.

Geometry as extended XYZ:
```
5
Lattice="-2.9186 2.9186 4.6118 2.9186 -2.9186 4.6118 2.9186 2.9186 -4.6118" Properties=species:S:1:pos:R:3 pbc="T T T"
Li 0.0000 0.0000 0.0000
In 0.0000 0.0000 3.1746
In 0.0000 0.0000 6.0490
Te 2.9186 0.0000 2.3059
Te 0.0000 2.9186 2.3059
```

Calculated values
**Size of the total moment**: 0.00 Bohr magnetons per cell

What should be chosen as the least stable of them? Choose entry a.

Entry a
A plane-wave DFT calculation with PBE-GGA was carried out for a geometry-optimized LiIn2Te2 structure.

Geometry as extended XYZ:
```
10
Lattice="8.3717 0.0000 0.0000 0.0000 8.3717 0.0000 0.0000 0.0000 4.3666" Properties=species:S:1:pos:R:3 pbc="T T T"
Li 0.0000 0.0000 0.0000
Li 4.1858 4.1858 0.0000
In 1.0414 3.1444 2.1833
In 3.1444 7.3302 2.1833
In 5.2273 1.0414 2.1833
In 7.3302 5.2273 2.1833
Te 1.6837 5.8695 0.0000
Te 2.5021 1.6837 0.0000
Te 5.8695 6.6880 0.0000
Te 6.6880 2.5021 0.0000
```

Calculated values
**Size of the total moment**: 0.00 Bohr magnetons per cell

Entry b
A plane-wave DFT calculation with PBE-GGA was carried out for a geometry-optimized LiIn2Te2 structure.

Geometry as extended XYZ:
```
10
Lattice="8.3667 0.0000 0.0000 0.0000 8.3667 0.0000 0.0000 0.0000 4.1734" Properties=species:S:1:pos:R:3 pbc="T T T"
Li 0.0000 0.0000 0.0000
Li 4.1834 4.1834 0.0000
In 1.1118 3.0716 0.0000
In 3.0716 7.2549 0.0000
In 5.2952 1.1118 0.0000
In 7.2549 5.2952 0.0000
Te 1.4580 5.6414 2.0867
Te 2.7253 1.4580 2.0867
Te 5.6414 6.9087 2.0867
Te 6.9087 2.7253 2.0867
```

Calculated values
**Size of the total moment**: 0.00 Bohr magnetons per cell

What should be chosen as the least stable of them? Choose entry b.

Entry a
A plane-wave DFT calculation with PBE-GGA was carried out for a geometry-optimized LiInTe3 structure.

Geometry as extended XYZ:
```
10
Lattice="7.1328 0.0000 0.0000 2.8940 7.0762 0.0000 3.4974 0.1705 7.2935" Properties=species:S:1:pos:R:3 pbc="T T T"
Li 1.7689 0.1191 1.6288
Li 11.7552 7.1276 5.6647
In 5.5001 2.3478 3.6235
In 8.0241 4.8989 3.6701
Te 4.4188 1.1720 6.0057
Te 5.2115 5.1863 3.6322
Te 4.4718 1.1627 1.2315
Te 9.0524 6.0840 6.0621
Te 8.3127 2.0604 3.6613
Te 9.1054 6.0747 1.2878
```

Calculated values
**Size of the total moment**: 0.00 Bohr magnetons per cell

Entry b
A plane-wave DFT calculation with PBE-GGA was carried out for a geometry-optimized LiInTe3 structure.

Geometry as extended XYZ:
```
5
Lattice="5.2512 0.0000 0.0000 0.0000 5.2512 0.0000 0.0000 0.0000 5.2512" Properties=species:S:1:pos:R:3 pbc="T T T"
Li 0.0000 0.0000 0.0000
In 2.6256 2.6256 2.6256
Te 0.0000 0.0000 2.6256
Te 0.0000 2.6256 0.0000
Te 2.6256 0.0000 0.0000
```

Calculated values
**Size of the total moment**: 0.00 Bohr magnetons per cell

What should be chosen as the least stable of them? Choose entry b.

Entry a
A plane-wave DFT calculation with PBE-GGA was carried out for a geometry-optimized LiThIn structure.

Geometry as extended XYZ:
```
3
Lattice="5.0159 0.0000 0.0000 -2.5080 4.3439 0.0000 0.0000 0.0000 3.4551" Properties=species:S:1:pos:R:3 pbc="T T T"
Li 0.0000 0.0000 0.0000
Th 2.5080 1.4480 1.7275
In 0.0000 2.8959 0.0000
```

Calculated values
**Size of the total moment**: 0.00 Bohr magnetons per cell

Entry b
A plane-wave DFT calculation with PBE-GGA was carried out for a geometry-optimized LiThIn structure.

Geometry as extended XYZ:
```
6
Lattice="-1.7162 1.7162 12.6711 1.7162 -1.7162 12.6711 1.7162 1.7162 -12.6711" Properties=species:S:1:pos:R:3 pbc="T T T"
Li 0.0000 0.0000 5.5462
Li 0.0000 0.0000 19.7960
Th 0.0000 0.0000 1.6096
Th 0.0000 0.0000 23.7326
In 0.0000 0.0000 8.7071
In 0.0000 0.0000 16.6351
```

Calculated values
**Size of the total moment**: 0.00 Bohr magnetons per cell

Entry c
A plane-wave DFT calculation with PBE-GGA was carried out for a geometry-optimized LiThIn structure.

Geometry as extended XYZ:
```
6
Lattice="-2.5221 3.3923 4.3812 2.5221 -3.3923 4.3812 2.5221 3.3923 -4.3812" Properties=species:S:1:pos:R:3 pbc="T T T"
Li 0.0000 0.0000 1.4953
Li 0.0000 0.0000 7.2672
Th 2.5221 1.6824 0.0000
Th 0.0000 1.7099 4.3812
In 2.5221 0.0000 2.8810
In 0.0000 3.3923 1.5002
```

Calculated values
**Size of the total moment**: 0.00 Bohr magnetons per cell

Entry d
A plane-wave DFT calculation with PBE-GGA was carried out for a geometry-optimized LiThIn structure.

Geometry as extended XYZ:
```
3
Lattice="-1.7029 1.7029 6.2608 1.7029 -1.7029 6.2608 1.7029 1.7029 -6.2608" Properties=species:S:1:pos:R:3 pbc="T T T"
Li 0.0000 0.0000 0.0000
Th 0.0000 0.0000 3.8941
In 0.0000 0.0000 7.7356
```

Calculated values
**Size of the total moment**: 0.00 Bohr magnetons per cell

What should be chosen as the least stable of them? Choose entry b.

Entry a
A plane-wave DFT calculation with PBE-GGA was carried out for a geometry-optimized Li2TiIn2 structure.

Geometry as extended XYZ:
```
10
Lattice="7.7764 0.0000 0.0000 0.0000 7.7764 0.0000 0.0000 0.0000 2.9524" Properties=species:S:1:pos:R:3 pbc="T T T"
Li 0.8973 2.9909 0.0000
Li 2.9909 6.8791 0.0000
Li 4.7854 0.8973 0.0000
Li 6.8791 4.7854 0.0000
Ti 0.0000 0.0000 0.0000
Ti 3.8882 3.8882 0.0000
In 1.4315 5.3197 1.4762
In 2.4567 1.4315 1.4762
In 5.3197 6.3448 1.4762
In 6.3448 2.4567 1.4762
```

Calculated values
**Size of the total moment**: 0.00 Bohr magnetons per cell

Entry b
A plane-wave DFT calculation with PBE-GGA was carried out for a geometry-optimized Li2TiIn2 structure.

Geometry as extended XYZ:
```
10
Lattice="7.8455 0.0000 0.0000 0.0000 7.8455 0.0000 0.0000 0.0000 3.1375" Properties=species:S:1:pos:R:3 pbc="T T T"
Li 1.2463 2.6764 0.0000
Li 2.6764 6.5992 0.0000
Li 5.1691 1.2463 0.0000
Li 6.5992 5.1691 0.0000
Ti 0.0000 0.0000 1.5688
Ti 3.9228 3.9228 1.5688
In 1.1180 5.0408 1.5688
In 2.8047 1.1180 1.5688
In 5.0408 6.7275 1.5688
In 6.7275 2.8047 1.5688
```

Calculated values
**Size of the total moment**: 3.62 Bohr magnetons per cell

What should be chosen as the least stable of them? Choose entry b.

Entry a
A plane-wave DFT calculation with PBE-GGA was carried out for a geometry-optimized LiTlIn3 structure.

Geometry as extended XYZ:
```
10
Lattice="4.2565 -5.5356 0.0000 4.2565 5.5356 0.0000 0.0000 0.0000 5.9186" Properties=species:S:1:pos:R:3 pbc="T T T"
Li 4.2565 2.9588 4.4389
Li 4.2565 -2.9588 1.4796
Tl 4.2565 0.4475 1.4796
Tl 4.2565 -0.4475 4.4389
In 0.0000 0.0000 0.0000
In 0.0000 0.0000 2.9593
In 2.6508 3.2887 1.4796
In 5.8622 3.2887 1.4796
In 2.6508 -3.2887 4.4389
In 5.8622 -3.2887 4.4389
```

Calculated values
**Size of the total moment**: 0.00 Bohr magnetons per cell

Entry b
A plane-wave DFT calculation with PBE-GGA was carried out for a geometry-optimized LiTlIn3 structure.

Geometry as extended XYZ:
```
10
Lattice="3.6016 -6.2565 0.0000 3.6016 6.2565 0.0000 0.0000 0.0000 5.8664" Properties=species:S:1:pos:R:3 pbc="T T T"
Li 0.0000 0.0000 0.0000
Li 0.0000 0.0000 2.9332
Tl 3.6016 2.0854 4.3998
Tl 3.6016 -2.0854 1.4666
In 2.0414 1.1833 1.4666
In 3.6016 3.8927 1.4666
In 2.0414 -1.1833 4.3998
In 5.1618 1.1833 1.4666
In 3.6016 -3.8927 4.3998
In 5.1618 -1.1833 4.3998
```

Calculated values
**Size of the total moment**: 0.00 Bohr magnetons per cell

What should be chosen as the least stable of them? Choose entry a.

Entry a
A plane-wave DFT calculation with PBE-GGA was carried out for a geometry-optimized LiTl2In2 structure.

Geometry as extended XYZ:
```
5
Lattice="-2.1218 2.1218 8.1643 2.1218 -2.1218 8.1643 2.1218 2.1218 -8.1643" Properties=species:S:1:pos:R:3 pbc="T T T"
Li 0.0000 0.0000 0.0000
Tl 0.0000 0.0000 6.5798
Tl 0.0000 0.0000 9.7488
In 2.1218 0.0000 4.0821
In 0.0000 2.1218 4.0821
```

Calculated values
**Size of the total moment**: 0.00 Bohr magnetons per cell

Entry b
A plane-wave DFT calculation with PBE-GGA was carried out for a geometry-optimized LiTl2In2 structure.

Geometry as extended XYZ:
```
10
Lattice="8.2541 0.0000 0.0000 0.0000 8.2541 0.0000 0.0000 0.0000 4.1846" Properties=species:S:1:pos:R:3 pbc="T T T"
Li 0.0000 0.0000 0.0000
Li 4.1270 4.1270 0.0000
Tl 1.3619 2.7652 2.0923
Tl 2.7652 6.8922 2.0923
Tl 5.4889 1.3619 2.0923
Tl 6.8922 5.4889 2.0923
In 1.1324 5.2594 0.0000
In 2.9947 1.1324 0.0000
In 5.2594 7.1217 0.0000
In 7.1217 2.9947 0.0000
```

Calculated values
**Size of the total moment**: 0.00 Bohr magnetons per cell

Entry c
A plane-wave DFT calculation with PBE-GGA was carried out for a geometry-optimized LiTl2In2 structure.

Geometry as extended XYZ:
```
5
Lattice="-2.4106 2.4106 6.6885 2.4106 -2.4106 6.6885 2.4106 2.4106 -6.6885" Properties=species:S:1:pos:R:3 pbc="T T T"
Li 0.0000 0.0000 0.0000
Tl 2.4106 0.0000 3.3443
Tl 0.0000 2.4106 3.3443
In 0.0000 0.0000 5.2805
In 0.0000 0.0000 8.0965
```

Calculated values
**Size of the total moment**: 0.00 Bohr magnetons per cell

Entry d
A plane-wave DFT calculation with PBE-GGA was carried out for a geometry-optimized LiTl2In2 structure.

Geometry as extended XYZ:
```
5
Lattice="7.0328 -2.7567 0.0000 7.0328 2.7567 0.0000 -0.0742 0.0000 3.4456" Properties=species:S:1:pos:R:3 pbc="T T T"
Li 0.0000 0.0000 0.0000
Tl 5.3761 0.0000 0.0136
Tl 8.6154 0.0000 3.4320
In 2.4822 0.0000 1.7322
In 11.5092 0.0000 1.7134
```

Calculated values
**Size of the total moment**: 0.00 Bohr magnetons per cell

What should be chosen as the least stable of them? Choose entry c.